## a
A plane-wave DFT calculation with PBE-GGA was carried out for a geometry-optimized Mg3SbSe structure.

```
Mg3SbSe
1.0
5.071 0.000 0.000
0.000 5.071 0.000
0.000 0.000 5.071
Se Mg Sb
1 3 1
direct
0.000 0.000 0.000 Se
0.000 0.500 0.000 Mg
0.500 0.000 0.000 Mg
0.000 0.000 0.500 Mg
0.500 0.500 0.500 Sb
```

=====

## b
A plane-wave DFT calculation with PBE-GGA was carried out for a geometry-optimized Mg3SbSe structure.

```
Mg3SbSe
1.0
-4.974 -1.387 1.499
0.777 -4.935 -1.988
1.889 -1.622 4.766
Mg Se Sb
3 1 1
direct
0.500 0.000 0.000 Mg
0.000 0.000 0.500 Mg
0.000 0.500 0.000 Mg
0.500 0.500 0.500 Se
0.000 0.000 0.000 Sb
```

=====

Top of the stability list: a, leading by 268 meV per atom.

=====

## a
A plane-wave DFT calculation with PBE-GGA was carried out for a geometry-optimized MgSbSe3 structure.

```
MgSbSe3
1.0
-0.233 -3.239 3.271
5.483 2.420 2.787
-9.803 4.739 3.994
Se Sb Mg
6 2 2
direct
0.750 0.911 0.613 Se
0.750 0.442 0.227 Se
0.750 0.935 0.097 Se
0.250 0.558 0.773 Se
0.250 0.065 0.903 Se
0.250 0.089 0.387 Se
0.750 0.872 0.307 Sb
0.250 0.128 0.693 Sb
0.750 0.805 0.823 Mg
0.250 0.195 0.177 Mg
```

=====

## b
A plane-wave DFT calculation with PBE-GGA was carried out for a geometry-optimized MgSbSe3 structure.

```
MgSbSe3
1.0
-1.357 1.888 4.441
-4.817 -0.263 -1.360
-0.279 -4.636 1.885
Se Sb Mg
3 1 1
direct
0.000 0.500 0.000 Se
0.000 0.000 0.500 Se
0.500 0.000 0.000 Se
0.500 0.500 0.500 Sb
0.000 0.000 0.000 Mg
```

=====

Top of the stability list: a, leading by 535 meV per atom.

=====

## a
A plane-wave DFT calculation with PBE-GGA was carried out for a geometry-optimized MgSb3Se structure.

```
MgSb3Se
1.0
5.424 0.000 0.000
0.000 5.424 0.000
0.000 0.000 5.424
Sb Se Mg
3 1 1
direct
0.000 0.000 0.500 Sb
0.500 0.000 0.000 Sb
0.000 0.500 0.000 Sb
0.000 0.000 0.000 Se
0.500 0.500 0.500 Mg
```

=====

## b
A plane-wave DFT calculation with PBE-GGA was carried out for a geometry-optimized MgSb3Se structure.

```
MgSb3Se
1.0
5.328 0.000 0.000
0.000 5.328 0.000
0.000 0.000 5.328
Se Mg Sb
1 1 3
direct
0.500 0.500 0.500 Se
0.000 0.000 0.000 Mg
0.000 0.500 0.000 Sb
0.500 0.000 0.000 Sb
0.000 0.000 0.500 Sb
```

=====

Top of the stability list: a, leading by 136 meV per atom.

=====

## a
A plane-wave DFT calculation with PBE-GGA was carried out for a geometry-optimized MgSb2TeSe structure.

```
MgSb2TeSe
1.0
-0.909 0.833 -5.291
1.223 -5.193 -1.027
-5.010 -1.310 0.655
Sb Te Se Mg
2 1 1 1
direct
0.500 0.000 0.000 Sb
0.000 0.500 0.000 Sb
0.000 0.000 0.500 Te
0.500 0.500 0.500 Se
0.000 0.000 0.000 Mg
```

=====

## b
A plane-wave DFT calculation with PBE-GGA was carried out for a geometry-optimized MgSb2TeSe structure.

```
MgSb2TeSe
1.0
-1.333 1.909 4.905
-1.103 -5.049 1.666
5.198 -0.593 1.644
Sb Se Te Mg
2 1 1 1
direct
0.000 0.500 0.000 Sb
0.500 0.000 0.000 Sb
0.000 0.000 0.000 Se
0.000 0.000 0.500 Te
0.500 0.500 0.500 Mg
```

=====

Top of the stability list: b, leading by 101 meV per atom.

=====

## a
A plane-wave DFT calculation with PBE-GGA was carried out for a geometry-optimized MgSi2Sb structure.

```
MgSi2Sb
1.0
3.379 -1.526 3.123
-0.843 0.195 4.770
-0.689 -4.090 2.509
Si Sb Mg
2 1 1
direct
0.250 0.250 0.250 Si
0.750 0.750 0.750 Si
0.500 0.500 0.500 Sb
0.000 0.000 0.000 Mg
```

=====

## b
A plane-wave DFT calculation with PBE-GGA was carried out for a geometry-optimized MgSi2Sb structure.

```
MgSi2Sb
1.0
-1.316 -1.079 4.716
-3.035 -3.217 2.361
2.646 -4.528 2.180
Si Sb Mg
2 1 1
direct
0.991 0.991 0.907 Si
0.509 0.509 0.593 Si
0.250 0.250 0.250 Sb
0.750 0.750 0.750 Mg
```

=====

## c
A plane-wave DFT calculation with PBE-GGA was carried out for a geometry-optimized MgSi2Sb structure.

```
MgSi2Sb
1.0
9.386 -0.105 -0.061
8.881 3.039 -0.061
8.881 1.426 2.684
Mg Si Sb
1 2 1
direct
0.250 0.250 0.250 Mg
0.995 0.995 0.995 Si
0.505 0.505 0.505 Si
0.750 0.750 0.750 Sb
```

=====

## d
A plane-wave DFT calculation with PBE-GGA was carried out for a geometry-optimized MgSi2Sb structure.

```
MgSi2Sb
1.0
-2.988 -0.551 1.060
-0.796 -1.212 -2.872
2.108 -6.926 2.339
Mg Si Sb
1 2 1
direct
0.500 0.500 0.250 Mg
0.000 0.000 0.011 Si
0.000 0.000 0.489 Si
0.500 0.500 0.750 Sb
```

=====

Top of the stability list: b, leading by 128 meV per atom.

=====

## a
A plane-wave DFT calculation with PBE-GGA was carried out for a geometry-optimized MgSi2Sb structure.

```
MgSi2Sb
1.0
-2.238 -5.847 -0.062
4.566 -1.789 3.894
-2.220 -2.571 6.457
Sb Mg Si
2 2 4
direct
0.750 0.250 0.500 Sb
0.000 0.000 0.000 Sb
0.500 0.500 0.000 Mg
0.250 0.750 0.500 Mg
0.120 0.625 0.250 Si
0.875 0.880 0.750 Si
0.630 0.125 0.250 Si
0.375 0.370 0.750 Si
```

=====

## b
A plane-wave DFT calculation with PBE-GGA was carried out for a geometry-optimized MgSi2Sb structure.

```
MgSi2Sb
1.0
-3.540 -1.784 2.538
-1.373 -0.575 -4.466
1.634 -3.345 -0.072
Si Mg Sb
2 1 1
direct
0.500 0.500 0.000 Si
0.000 0.000 0.000 Si
0.500 0.000 0.500 Mg
0.000 0.500 0.500 Sb
```

=====

Top of the stability list: b, leading by 81 meV per atom.